Pr8Sn4H: relaxed, GGA-PBE.

a = 4.506 Å, b = 4.979 Å, c = 16.799 Å
α = 90.00°, β = 90.00°, γ = 90.00°
Atoms (fractional coordinates):
Pr: 0.000 0.000 0.000
Pr: 0.000 0.000 0.317
Pr: 0.000 0.500 0.174
Pr: 0.000 0.500 0.500
Pr: 0.500 0.000 0.498
Pr: 0.500 0.000 0.822
Pr: 0.500 0.500 0.678
Pr: 0.500 0.500 0.998
Sn: 0.000 0.000 0.649
Sn: 0.000 0.500 0.850
Sn: 0.500 0.000 0.148
Sn: 0.500 0.500 0.351
H: 0.000 0.000 0.457

## Properties
total magnetic moment	0.00	μB/f.u.
theoretical density	7.064	g/cm³
total DFT energy (no corrections)	-4.988	eV/atom